(1)
The following is a GGA-PBE calculation of a relaxed Sm5PtAu2 crystal, from Alexandria via LeMat-Bulk.

abc: 7.268 12.332 4.854
angles: 90.00 90.00 90.00
Atoms (fractional coordinates):
Sm 0.000 0.000 0.000
Sm 0.157 0.289 0.000
Sm 0.177 0.588 0.500
Sm 0.323 0.088 0.500
Sm 0.343 0.789 0.000
Sm 0.500 0.500 0.000
Sm 0.657 0.211 0.000
Sm 0.677 0.912 0.500
Sm 0.823 0.412 0.500
Sm 0.843 0.711 0.000
Pt 0.000 0.500 0.000
Pt 0.500 0.000 0.000
Au 0.069 0.836 0.500
Au 0.431 0.336 0.500
Au 0.569 0.664 0.500
Au 0.931 0.164 0.500

Space-group type: Pbam, No. 55
E above lowest polymorph: 0.000 eV per atom
E_form: -69 kJ/mol of atoms

***

(2)
The following is a GGA-PBE calculation of a relaxed Sm2Pt2Au3 crystal, from Alexandria via LeMat-Bulk.

abc: 5.489 5.489 7.119
angles: 95.23 95.23 44.37
Atoms (fractional coordinates):
Sm 0.116 0.116 0.323
Sm 0.884 0.884 0.677
Pt 0.406 0.406 0.358
Pt 0.594 0.594 0.642
Au 0.197 0.197 0.877
Au 0.500 0.500 0.000
Au 0.803 0.803 0.123

Space-group type: C2/m, No. 12
E_form: -79 kJ/mol of atoms

***

(3)
The following is a GGA-PBE calculation of a relaxed Sm2Pt5Au5 crystal, from Alexandria via LeMat-Bulk.

abc: 4.562 5.502 9.488
angles: 90.00 90.00 90.00
Atoms (fractional coordinates):
Sm 0.000 0.000 0.000
Sm 0.000 0.500 0.500
Pt 0.500 0.000 0.500
Pt 0.500 0.250 0.253
Pt 0.500 0.250 0.747
Pt 0.500 0.750 0.253
Pt 0.500 0.750 0.747
Au 0.000 0.000 0.331
Au 0.000 0.000 0.669
Au 0.000 0.500 0.172
Au 0.000 0.500 0.828
Au 0.500 0.500 0.000

Space-group type: Pmmm, No. 47
E_form: -51 kJ/mol of atoms